Entry 1:
The following is a DFT calculation (PBE) of a relaxed structure of LiBiP2O7.

abc: 6.874 6.902 6.918
angles: 65.11 82.34 78.72
Space group P-1 (No. 2)
Symmetry-distinct sites (fractional):
Li (0.185, 0.430, 0.100) x2
Bi (0.311, 0.770, 0.374) x2
P (0.163, 0.278, 0.725) x2
P (0.388, 0.820, 0.849) x2
O (0.021, 0.242, 0.595) x2
O (0.072, 0.381, 0.875) x2
O (0.269, 0.784, 0.698) x2
O (0.280, 0.043, 0.874) x2
O (0.335, 0.393, 0.570) x2
O (0.365, 0.651, 0.079) x2
O (0.397, 0.148, 0.231) x2

The value obtained for the density of states at the Fermi level is 0.00 states/eV per cell. The magnetization comes out at 0.0 μB/cell. The calculation puts the energy above the most stable polymorph in this dataset at 0.017 eV per atom. Its formation energy from raw total energies is -2074 meV/atom.

***

Entry 2:
The following is a DFT calculation (PBE) of a relaxed structure of KNb2CdO6.

abc: 10.218 11.403 6.959
angles: 90.00 112.53 90.00
Space group C2/c (No. 15)
Symmetry-distinct sites (fractional):
K (0.000, 0.108, 0.250) x4
Nb (0.157, 0.433, 0.194) x8
Cd (0.000, 0.223, 0.750) x4
O (0.104, 0.284, 0.096) x8
O (0.110, 0.469, 0.441) x8
O (0.149, 0.075, 0.694) x8

The value obtained for the density of states at the Fermi level is 11.02 states/eV per cell. The magnetization comes out at 0.0 μB/cell. Its formation energy from raw total energies is -2075 meV/atom.

***

Entry 3:
The following is a DFT calculation (PBE) of a relaxed structure of K2LiTc.

abc: 2.826 4.507 9.906
angles: 90.00 97.81 90.00
Space group Pm (No. 6)
Symmetry-distinct sites (fractional):
K (0.000, 0.000, 0.000) x1
K (0.251, 0.500, 0.580) x1
Li (0.101, 0.500, 0.252) x1
Tc (0.639, 0.000, 0.331) x1

The value obtained for the density of states at the Fermi level is 3.32 states/eV per cell. The magnetization comes out at 1.4 μB/cell. The calculation puts the energy above the most stable polymorph in this dataset at 0.000 eV per atom. The formation energy comes out at 910 meV/atom.

***

Entry 4:
The following is a DFT calculation (PBE) of a relaxed structure of Pr6Sm3Y2Mg.

abc: 6.316 10.956 11.952
angles: 90.00 100.22 90.00
Space group C2/m (No. 12)
Symmetry-distinct sites (fractional):
Pr (0.247, 0.166, 0.246) x8
Pr (0.250, 0.000, 0.752) x4
Sm (0.000, 0.167, 0.500) x4
Sm (0.000, 0.500, 0.500) x2
Y (0.000, 0.334, 0.000) x4
Mg (0.000, 0.000, 0.000) x2

The value obtained for the density of states at the Fermi level is 28.72 states/eV per cell. The magnetization comes out at 0.0 μB/cell. The formation energy comes out at 22 meV/atom.

***

Entry 5:
The following is a DFT calculation (PBE) of a relaxed structure of Ce4TcPd.

abc: 8.263 14.080 6.563
angles: 90.00 124.75 90.00
Space group C2/c (No. 15)
Symmetry-distinct sites (fractional):
Ce (0.197, 0.226, 0.181) x8
Ce (0.243, 0.056, 0.731) x8
Tc (0.000, 0.096, 0.250) x4
Pd (0.000, 0.403, 0.750) x4

The value obtained for the density of states at the Fermi level is 67.01 states/eV per cell. The magnetization comes out at 7.5 μB/cell. The formation energy comes out at -128 meV/atom.

***

Entry 6:
The following is a DFT calculation (PBE) of a relaxed structure of CaPrHo2As4.

abc: 7.234 4.183 7.299
angles: 90.00 109.28 90.00
Space group P2/m (No. 10)
Symmetry-distinct sites (fractional):
Ca (0.000, 0.000, 0.000) x1
Pr (0.500, 0.500, 0.000) x1
Ho (0.000, 0.500, 0.500) x1
Ho (0.500, 0.000, 0.500) x1
As (0.245, 0.000, 0.737) x2
As (0.254, 0.500, 0.263) x2

The value obtained for the density of states at the Fermi level is 4.11 states/eV per cell. The magnetization comes out at 0.0 μB/cell. The formation energy comes out at -1354 meV/atom.

***

Entry 7:
The following is a DFT calculation (PBE) of a relaxed structure of Pr6NdHo12.

abc: 13.3120 13.3120 12.6981
angles: 90.00 90.00 120.00
Space group R-3m (No. 166, hexagonal axes)
Symmetry-distinct sites (fractional):
Pr (0.0370, 0.5185, 0.1175) x18
Nd (0.0000, 0.0000, 0.5000) x3
Ho (0.0000, 0.2558, 0.0000) x18
Ho (0.0917, 0.1834, 0.7642) x18

The value obtained for the density of states at the Fermi level is 93.55 states/eV per cell. The magnetization comes out at 0.0 μB/cell. The calculation puts the energy above the most stable polymorph in this dataset at 0.097 eV per atom. The formation energy comes out at 215 meV/atom.

***

Entry 8:
The following is a DFT calculation (PBE) of a relaxed structure of Be2SbTe.

abc: 3.924 3.624 5.736
angles: 90.00 97.32 90.00
Space group P2/m (No. 10)
Symmetry-distinct sites (fractional):
Be (0.084, 0.000, 0.190) x2
Sb (0.500, 0.500, 0.000) x1
Te (0.000, 0.500, 0.500) x1

The value obtained for the density of states at the Fermi level is 1.69 states/eV per cell. The magnetization comes out at 0.0 μB/cell. The calculation puts the energy above the most stable polymorph in this dataset at 0.420 eV per atom. Its formation energy from raw total energies is 442 meV/atom.

***

> What is the magnetization in the seventh record?

0.0 μB/cell

***

> Which value of magnetization does entry 8 give?

0.0 μB/cell

***

> What is the magnetization in the second record?

0.0 μB/cell